Here is a relaxed Ni6OF11 crystal from Alexandria. Energies are from GGA-PBEsol.

Calculated values
symmetry	C2

a b c (Å): 5.5093 5.5093 7.2172
angles (deg): 107.65 107.65 71.44
Atoms (fractional coordinates):
Ni 0.0000 0.0000 0.0000
Ni 0.3037 0.3611 0.3331
Ni 0.3071 0.3773 0.8415
Ni 0.6227 0.6929 0.1585
Ni 0.6389 0.6963 0.6669
Ni 0.9741 0.0259 0.5000
O 0.2857 0.7143 0.0000
F 0.0740 0.1270 0.2981
F 0.2106 0.2544 0.0363
F 0.3364 0.0048 0.6704
F 0.4102 0.4605 0.6304
F 0.5395 0.5898 0.3696
F 0.6079 0.0547 0.3332
F 0.6844 0.3156 0.0000
F 0.7456 0.7894 0.9637
F 0.8730 0.9260 0.7019
F 0.9453 0.3921 0.6668
F 0.9952 0.6636 0.3296


Here is a relaxed NiPbO2F crystal from Alexandria. Energies are from GGA-PBEsol.

Calculated values
symmetry	P4/mmm

a b c (Å): 3.8289 3.8289 3.8912
angles (deg): 90.00 90.00 90.00
Atoms (fractional coordinates):
Ni 0.0000 0.0000 0.0000
Pb 0.5000 0.5000 0.5000
O 0.0000 0.5000 0.0000
O 0.5000 0.0000 0.0000
F 0.0000 0.0000 0.5000


Here is a relaxed Ni3Sb4O6F6 crystal from Alexandria. Energies are from GGA-PBEsol.

Calculated values
symmetry	I-43m

a b c (Å): 6.9522 6.9522 6.9522
angles (deg): 109.47 109.47 109.47
Atoms (fractional coordinates):
Ni 0.0000 0.5000 0.5000
Ni 0.5000 0.0000 0.5000
Ni 0.5000 0.5000 0.0000
Sb 0.0000 0.0000 0.6690
Sb 0.0000 0.6690 0.0000
Sb 0.3310 0.3310 0.3310
Sb 0.6690 0.0000 0.0000
O 0.0000 0.2543 0.2543
O 0.0000 0.7457 0.7457
O 0.2543 0.0000 0.2543
O 0.2543 0.2543 0.0000
O 0.7457 0.0000 0.7457
O 0.7457 0.7457 0.0000
F 0.2500 0.5000 0.7500
F 0.2500 0.7500 0.5000
F 0.5000 0.2500 0.7500
F 0.5000 0.7500 0.2500
F 0.7500 0.2500 0.5000
F 0.7500 0.5000 0.2500


Here is a relaxed NiSeOF2 crystal from Alexandria. Energies are from GGA-PBEsol.

Calculated values
symmetry	P4/mmm

a b c (Å): 3.7595 3.7595 3.9953
angles (deg): 90.00 90.00 90.00
Atoms (fractional coordinates):
Ni 0.0000 0.0000 0.0000
Se 0.5000 0.5000 0.5000
O 0.0000 0.0000 0.5000
F 0.0000 0.5000 0.0000
F 0.5000 0.0000 0.0000


Here is a relaxed TaNiOF2 crystal from Alexandria. Energies are from GGA-PBEsol.

Calculated values
symmetry	P4/mmm

a b c (Å): 3.3963 3.3963 6.1004
angles (deg): 90.00 90.00 90.00
Atoms (fractional coordinates):
Ta 0.0000 0.0000 0.0000
Ni 0.5000 0.5000 0.5000
O 0.5000 0.5000 0.0000
F 0.0000 0.5000 0.5000
F 0.5000 0.0000 0.5000


Here is a relaxed TiNiOF2 crystal from Alexandria. Energies are from GGA-PBEsol.

Calculated values
symmetry	P4/mmm

a b c (Å): 3.9259 3.9259 3.7916
angles (deg): 90.00 90.00 90.00
Atoms (fractional coordinates):
Ti 0.0000 0.0000 0.0000
Ni 0.5000 0.5000 0.5000
O 0.0000 0.0000 0.5000
F 0.0000 0.5000 0.0000
F 0.5000 0.0000 0.0000


Here is a relaxed TlNiOF2 crystal from Alexandria. Energies are from GGA-PBEsol.

Calculated values
symmetry	P4/mmm

a b c (Å): 4.2017 4.2017 3.5902
angles (deg): 90.00 90.00 90.00
Atoms (fractional coordinates):
Tl 0.0000 0.0000 0.0000
Ni 0.5000 0.5000 0.5000
O 0.5000 0.5000 0.0000
F 0.0000 0.5000 0.5000
F 0.5000 0.0000 0.5000


Here is a relaxed TlNiOF2 crystal from Alexandria. Energies are from GGA-PBEsol.

Calculated values
symmetry	P4/mmm

a b c (Å): 4.3977 4.3977 4.1299
angles (deg): 90.00 90.00 90.00
Atoms (fractional coordinates):
Tl 0.0000 0.0000 0.0000
Ni 0.5000 0.5000 0.5000
O 0.0000 0.0000 0.5000
F 0.0000 0.5000 0.0000
F 0.5000 0.0000 0.0000


Here is a relaxed Ni2OsF crystal from Alexandria. Energies are from GGA-PBEsol.

Calculated values
symmetry	Fm-3m

a b c (Å): 4.0253 4.0253 4.0253
angles (deg): 60.00 60.00 60.00
Atoms (fractional coordinates):
Ni 0.2500 0.2500 0.2500
Ni 0.7500 0.7500 0.7500
Os 0.0000 0.0000 0.0000
F 0.5000 0.5000 0.5000


Here is a relaxed NiPF3 crystal from Alexandria. Energies are from GGA-PBEsol.

Calculated values
symmetry	Pm-3m

a b c (Å): 3.9532 3.9532 3.9532
angles (deg): 90.00 90.00 90.00
Atoms (fractional coordinates):
Ni 0.0000 0.0000 0.0000
P 0.5000 0.5000 0.5000
F 0.0000 0.0000 0.5000
F 0.0000 0.5000 0.0000
F 0.5000 0.0000 0.0000


Here is a relaxed Ni2PRhF crystal from Alexandria. Energies are from GGA-PBEsol.

Calculated values
symmetry	P4/mmm

a b c (Å): 4.5049 4.5049 3.7354
angles (deg): 90.00 90.00 90.00
Atoms (fractional coordinates):
Ni 0.0000 0.5000 0.0000
Ni 0.5000 0.0000 0.0000
P 0.0000 0.0000 0.5000
Rh 0.5000 0.5000 0.0000
F 0.5000 0.5000 0.5000


Here is a relaxed NiPbF3 crystal from Alexandria. Energies are from GGA-PBEsol.

Calculated values
symmetry	Pm-3m

a b c (Å): 4.0713 4.0713 4.0713
angles (deg): 90.00 90.00 90.00
Atoms (fractional coordinates):
Ni 0.0000 0.0000 0.0000
Pb 0.5000 0.5000 0.5000
F 0.0000 0.0000 0.5000
F 0.0000 0.5000 0.0000
F 0.5000 0.0000 0.0000


Here is a relaxed Ni3PbF crystal from Alexandria. Energies are from GGA-PBEsol.

Calculated values
symmetry	Pm-3m

a b c (Å): 4.0640 4.0640 4.0640
angles (deg): 90.00 90.00 90.00
Atoms (fractional coordinates):
Ni 0.0000 0.0000 0.5000
Ni 0.0000 0.5000 0.0000
Ni 0.5000 0.0000 0.0000
Pb 0.5000 0.5000 0.5000
F 0.0000 0.0000 0.0000


Here is a relaxed NiPd2F crystal from Alexandria. Energies are from GGA-PBEsol.

Calculated values
symmetry	Fm-3m

a b c (Å): 4.1305 4.1305 4.1305
angles (deg): 60.00 60.00 60.00
Atoms (fractional coordinates):
Ni 0.0000 0.0000 0.0000
Pd 0.2500 0.2500 0.2500
Pd 0.7500 0.7500 0.7500
F 0.5000 0.5000 0.5000


Here is a relaxed RbNiPdF2 crystal from Alexandria. Energies are from GGA-PBEsol.

Calculated values
symmetry	P4/mmm

a b c (Å): 4.1543 4.1543 6.0216
angles (deg): 90.00 90.00 90.00
Atoms (fractional coordinates):
Rb 0.0000 0.0000 0.0000
Ni 0.5000 0.5000 0.0000
Pd 0.0000 0.0000 0.5000
F 0.0000 0.5000 0.5000
F 0.5000 0.0000 0.5000


Here is a relaxed NiSnPd2F crystal from Alexandria. Energies are from GGA-PBEsol.

Calculated values
symmetry	P4/mmm

a b c (Å): 4.8902 4.8902 4.6583
angles (deg): 90.00 90.00 90.00
Atoms (fractional coordinates):
Ni 0.0000 0.0000 0.0000
Sn 0.0000 0.0000 0.5000
Pd 0.0000 0.5000 0.5000
Pd 0.5000 0.0000 0.5000
F 0.5000 0.5000 0.0000


Here is a relaxed Zn2NiPdF crystal from Alexandria. Energies are from GGA-PBEsol.

Calculated values
symmetry	P4/mmm

a b c (Å): 4.7365 4.7365 3.9012
angles (deg): 90.00 90.00 90.00
Atoms (fractional coordinates):
Zn 0.0000 0.5000 0.0000
Zn 0.5000 0.0000 0.0000
Ni 0.0000 0.0000 0.5000
Pd 0.5000 0.5000 0.0000
F 0.5000 0.5000 0.5000


Here is a relaxed NiPtF6 crystal from Alexandria. Energies are from GGA-PBEsol.

Calculated values
symmetry	R-3

a b c (Å): 5.3308 5.3308 5.3308
angles (deg): 54.64 54.64 54.64
Atoms (fractional coordinates):
Ni 0.0000 0.0000 0.0000
Pt 0.5000 0.5000 0.5000
F 0.0958 0.7495 0.4036
F 0.2505 0.5964 0.9042
F 0.4036 0.0958 0.7495
F 0.5964 0.9042 0.2505
F 0.7495 0.4036 0.0958
F 0.9042 0.2505 0.5964


Here is a relaxed Ni3PtF crystal from Alexandria. Energies are from GGA-PBEsol.

Calculated values
symmetry	Pm-3m

a b c (Å): 3.8786 3.8786 3.8786
angles (deg): 90.00 90.00 90.00
Atoms (fractional coordinates):
Ni 0.0000 0.0000 0.5000
Ni 0.0000 0.5000 0.0000
Ni 0.5000 0.0000 0.0000
Pt 0.5000 0.5000 0.5000
F 0.0000 0.0000 0.0000


Here is a relaxed NiPtS2F crystal from Alexandria. Energies are from GGA-PBEsol.

Calculated values
symmetry	P4/mmm

a b c (Å): 4.6234 4.6234 3.9688
angles (deg): 90.00 90.00 90.00
Atoms (fractional coordinates):
Ni 0.0000 0.0000 0.0000
Pt 0.5000 0.5000 0.5000
S 0.0000 0.5000 0.5000
S 0.5000 0.0000 0.5000
F 0.5000 0.5000 0.0000


Here is a relaxed Rb2NiF6 crystal from Alexandria. Energies are from GGA-PBEsol.

Calculated values
symmetry	Fm-3m

a b c (Å): 5.9089 5.9089 5.9089
angles (deg): 60.00 60.00 60.00
Atoms (fractional coordinates):
Rb 0.2500 0.2500 0.2500
Rb 0.7500 0.7500 0.7500
Ni 0.0000 0.0000 0.0000
F 0.2142 0.2142 0.7858
F 0.2142 0.7858 0.2142
F 0.2142 0.7858 0.7858
F 0.7858 0.2142 0.2142
F 0.7858 0.2142 0.7858
F 0.7858 0.7858 0.2142


Here is a relaxed RbNi2F6 crystal from Alexandria. Energies are from GGA-PBEsol.

Calculated values
symmetry	Fd-3m

a b c (Å): 7.0376 7.0376 7.0376
angles (deg): 60.00 60.00 60.00
Atoms (fractional coordinates):
Rb 0.1250 0.1250 0.1250
Rb 0.8750 0.8750 0.8750
Ni 0.0000 0.5000 0.5000
Ni 0.5000 0.0000 0.5000
Ni 0.5000 0.5000 0.0000
Ni 0.5000 0.5000 0.5000
F 0.1762 0.1762 0.5738
F 0.1762 0.5738 0.1762
F 0.1762 0.5738 0.5738
F 0.4262 0.4262 0.8238
F 0.4262 0.8238 0.4262
F 0.4262 0.8238 0.8238
F 0.5738 0.1762 0.1762
F 0.5738 0.1762 0.5738
F 0.5738 0.5738 0.1762
F 0.8238 0.4262 0.4262
F 0.8238 0.4262 0.8238
F 0.8238 0.8238 0.4262


Here is a relaxed Rb2NiF4 crystal from Alexandria. Energies are from GGA-PBEsol.

Calculated values
symmetry	I4/mmm

a b c (Å): 7.3572 7.3572 7.3572
angles (deg): 147.92 147.92 46.00
Atoms (fractional coordinates):
Rb 0.1459 0.1459 0.0000
Rb 0.8541 0.8541 0.0000
Ni 0.5000 0.5000 0.0000
F 0.0000 0.5000 0.5000
F 0.3529 0.3529 0.0000
F 0.5000 0.0000 0.5000
F 0.6471 0.6471 0.0000


Here is a relaxed NiRhF6 crystal from Alexandria. Energies are from GGA-PBEsol.

Calculated values
symmetry	R-3

a b c (Å): 5.2781 5.2781 5.2781
angles (deg): 54.98 54.98 54.98
Atoms (fractional coordinates):
Ni 0.0000 0.0000 0.0000
Rh 0.5000 0.5000 0.5000
F 0.1021 0.3994 0.7466
F 0.2534 0.8979 0.6006
F 0.3994 0.7466 0.1021
F 0.6006 0.2534 0.8979
F 0.7466 0.1021 0.3994
F 0.8979 0.6006 0.2534


Here is a relaxed Ni3RhF crystal from Alexandria. Energies are from GGA-PBEsol.

Calculated values
symmetry	Pm-3m

a b c (Å): 4.4472 4.4472 4.4472
angles (deg): 90.00 90.00 90.00
Atoms (fractional coordinates):
Ni 0.0000 0.0000 0.5000
Ni 0.0000 0.5000 0.0000
Ni 0.5000 0.0000 0.0000
Rh 0.0000 0.0000 0.0000
F 0.5000 0.5000 0.5000


Here is a relaxed Zn2NiRhF crystal from Alexandria. Energies are from GGA-PBEsol.

Calculated values
symmetry	P4/mmm

a b c (Å): 4.1957 4.1957 3.6598
angles (deg): 90.00 90.00 90.00
Atoms (fractional coordinates):
Zn 0.0000 0.5000 0.0000
Zn 0.5000 0.0000 0.0000
Ni 0.0000 0.0000 0.5000
Rh 0.5000 0.5000 0.5000
F 0.0000 0.0000 0.0000


Number 1: total moment 12.995 μB/f.u., formation energy without anion corrections -1.5169 eV per atom. Number 2: total moment 0.006 μB/f.u., formation energy without anion corrections -1.0950 eV per atom. Number 3: total moment 5.850 μB/f.u., formation energy without anion corrections -1.4826 eV per atom. Number 4: total moment 1.046 μB/f.u., formation energy without anion corrections -0.4944 eV per atom. Number 5: total moment 2.402 μB/f.u., formation energy without anion corrections -0.4749 eV per atom. Number 6: total moment 0.189 μB/f.u., formation energy without anion corrections -1.7381 eV per atom. Number 7: total moment 1.990 μB/f.u., formation energy without anion corrections -1.2215 eV per atom. Number 8: total moment 1.175 μB/f.u., formation energy without anion corrections -0.3555 eV per atom. Number 9: total moment 0.025 μB/f.u., formation energy without anion corrections 0.5389 eV per atom. Number 10: total moment 3.806 μB/f.u., formation energy without anion corrections -0.5969 eV per atom. Number 11: total moment 1.738 μB/f.u., formation energy without anion corrections 0.7122 eV per atom. Number 12: total moment 1.317 μB/f.u., formation energy without anion corrections -1.5080 eV per atom. Number 13: total moment 0.611 μB/f.u., formation energy without anion corrections 0.2350 eV per atom. Number 14: total moment 2.216 μB/f.u., formation energy without anion corrections 0.0269 eV per atom. Number 15: total moment 1.210 μB/f.u., formation energy without anion corrections 0.0020 eV per atom. Number 16: total moment 0.286 μB/f.u., formation energy without anion corrections 0.8014 eV per atom. Number 17: total moment 0.069 μB/f.u., formation energy without anion corrections 0.3252 eV per atom. Number 18: total moment 2.001 μB/f.u., formation energy without anion corrections -1.4680 eV per atom. Number 19: total moment 2.156 μB/f.u., formation energy without anion corrections 0.2828 eV per atom. Number 20: total moment 1.443 μB/f.u., formation energy without anion corrections 0.3328 eV per atom. Number 21: total moment 0.173 μB/f.u., formation energy without anion corrections -2.2364 eV per atom. Number 22: total moment 2.954 μB/f.u., formation energy without anion corrections -1.9699 eV per atom. Number 23: total moment 2.008 μB/f.u., formation energy without anion corrections -2.3043 eV per atom. Number 24: total moment 2.992 μB/f.u., formation energy without anion corrections -1.5891 eV per atom. Number 25: total moment 3.877 μB/f.u., formation energy without anion corrections 1.2740 eV per atom. Number 26: total moment 0.005 μB/f.u., formation energy without anion corrections -0.1031 eV per atom.